(1)
This record from Alexandria describes an optimized crystal structure of MgAsPt2. The functional is PBE-GGA.

Summary:
As for the total energy: -5.039 eV per atom. As for the formation energy: -1.83 eV per formula unit. Its magnetic moment is 0.00 μB per formula unit. The value obtained for the volume is 130 Å³ per cell.

a = 5.766 Å, b = 7.259 Å, c = 3.112 Å
α = 90.00°, β = 90.31°, γ = 90.00°
Fractional positions:
Mg  0.000  0.000  0.000
Mg  0.500  0.500  0.000
As  0.000  0.500  0.000
As  0.500  0.000  0.000
Pt  0.250  0.250  0.500
Pt  0.250  0.750  0.500
Pt  0.750  0.250  0.500
Pt  0.750  0.750  0.500

***

(2)
This record from Alexandria describes an optimized crystal structure of MnPt2Se. The functional is PBE-GGA.

Summary:
As for the total energy: -6.163 eV per atom. As for the raw formation energy: 0.021 eV per atom. Its magnetic moment is 4.63 μB per formula unit. The value obtained for the volume is 130 Å³ per cell.

a = 5.726 Å, b = 7.624 Å, c = 2.979 Å
α = 90.00°, β = 90.00°, γ = 90.00°
Fractional positions:
Mn  0.000  0.000  0.000
Mn  0.500  0.500  0.000
Pt  0.250  0.250  0.500
Pt  0.250  0.750  0.500
Pt  0.750  0.250  0.500
Pt  0.750  0.750  0.500
Se  0.000  0.500  0.000
Se  0.500  0.000  0.000

***

(3)
This record from Alexandria describes an optimized crystal structure of LaMg2Co. The functional is PBE-GGA.

Summary:
As for the total energy: -3.674 eV per atom. As for the formation energy: 0.53 eV per formula unit. Its magnetic moment is 0.89 μB per formula unit. The value obtained for the volume is 175 Å³ per cell.

a = 4.986 Å, b = 4.986 Å, c = 7.027 Å
α = 90.00°, β = 90.00°, γ = 90.00°
Fractional positions:
La  0.000  0.000  0.000
La  0.500  0.500  0.500
Mg  0.000  0.000  0.500
Mg  0.000  0.500  0.250
Mg  0.500  0.000  0.750
Mg  0.500  0.500  0.000
Co  0.000  0.500  0.750
Co  0.500  0.000  0.250